Record 1
8
Lattice="5.559 0.000 0.000 0.000 5.559 0.000 -2.779 -2.779 5.690" Properties=species:S:1:pos:R:3 comment="Be2BiBr (GGA-PBEsol, relaxed)" crystal_system=tetragonal spacegroup="I-42d (122)" n_ef_per_ev_atom=0.000 e_form_raw_kj_per_mol_fu=53 energy_ry_per_atom=-0.250 density_g_cm3=5.80 total_magnetization_mub_per_fu=0.000 pbc="T T T"
Br 2.779 2.779 0.000
Be -1.390 -1.369 4.268
Be 1.390 1.369 4.268
Be 1.410 4.169 1.423
Br 2.779 0.000 2.845
Bi 0.000 2.779 2.845
Be 4.149 1.390 1.423
Bi 0.000 0.000 0.000



Record 2
5
Lattice="-0.686 -2.060 -3.521 -1.538 -3.176 2.158 -3.778 1.667 -0.239" Properties=species:S:1:pos:R:3 comment="TiFe3Tc (GGA-PBEsol, relaxed)" formation_enthalpy_0k_ev_per_atom=1.376 crystal_system=cubic spacegroup="Pm-3m (221)" n_ef_per_ev_atom=1.541 energy_ry_per_atom=-0.582 density_g_cm3=7.35 total_magnetization_mub_per_fu=6.155 pbc="T T T"
Fe -1.889 0.834 -0.120
Ti 0.000 0.000 0.000
Fe -0.343 -1.030 -1.761
Fe -0.769 -1.588 1.079
Tc -3.001 -1.785 -0.801



Repeat the first record exactly.
8
Lattice="5.559 0.000 0.000 0.000 5.559 0.000 -2.779 -2.779 5.690" Properties=species:S:1:pos:R:3 comment="Be2BiBr (GGA-PBEsol, relaxed)" crystal_system=tetragonal spacegroup="I-42d (122)" n_ef_per_ev_atom=0.000 e_form_raw_kj_per_mol_fu=53 energy_ry_per_atom=-0.250 density_g_cm3=5.80 total_magnetization_mub_per_fu=0.000 pbc="T T T"
Br 2.779 2.779 0.000
Be -1.390 -1.369 4.268
Be 1.390 1.369 4.268
Be 1.410 4.169 1.423
Br 2.779 0.000 2.845
Bi 0.000 2.779 2.845
Be 4.149 1.390 1.423
Bi 0.000 0.000 0.000